(1)
A plane-wave DFT calculation with PBE-GGA was carried out for crystalline Tb12Si3H5 at its relaxed geometry.

```
80
Lattice="-7.602 7.602 7.602 7.602 -7.602 7.602 7.602 7.602 -7.602" Properties=species:S:1:pos:R:3 pbc="T T T"
Tb 2.338 -0.559 0.911
Tb 9.065 4.712 -4.360
Tb 7.043 -0.911 2.338
Tb 11.962 -1.463 2.890
Tb 9.939 0.559 0.911
Tb 9.065 -2.890 4.360
Tb 0.911 2.338 -0.559
Tb 10.492 3.242 -1.463
Tb 4.712 4.360 -1.463
Tb 6.691 2.338 0.559
Tb -0.559 0.911 2.338
Tb 4.360 -1.463 4.712
Tb 7.043 6.691 -2.338
Tb 4.360 1.463 2.890
Tb 6.691 -2.338 7.043
Tb 4.712 -4.360 9.065
Tb 2.890 4.360 1.463
Tb 8.513 5.264 0.559
Tb 2.338 7.043 -0.911
Tb 9.065 2.890 3.242
Tb 4.360 9.065 -2.890
Tb 7.043 0.911 5.264
Tb 1.463 2.890 4.360
Tb 2.338 0.559 6.691
Tb 5.264 7.043 0.911
Tb 6.139 4.712 3.242
Tb 0.559 6.691 2.338
Tb 3.242 -1.463 10.492
Tb -1.463 4.712 4.360
Tb 5.264 0.559 8.513
Tb -0.911 2.338 7.043
Tb 4.712 3.242 6.139
Tb 2.890 11.962 -1.463
Tb 0.911 9.939 0.559
Tb 3.242 6.139 4.712
Tb 0.559 0.911 9.939
Tb 3.242 9.065 2.890
Tb 8.161 6.691 5.264
Tb 0.911 5.264 7.043
Tb 2.890 3.242 9.065
Tb -2.890 4.360 9.065
Tb 6.691 5.264 8.161
Tb -1.463 10.492 3.242
Tb -2.338 7.043 6.691
Tb -4.360 9.065 4.712
Tb 0.559 8.513 5.264
Tb -1.463 2.890 11.962
Tb 5.264 8.161 6.691
Si 3.801 1.900 0.000
Si 7.602 3.801 -1.900
Si 1.900 0.000 3.801
Si 9.502 0.000 3.801
Si 0.000 3.801 1.900
Si 3.801 -1.900 7.602
Si 3.801 9.502 0.000
Si 7.602 3.801 5.701
Si -1.900 7.602 3.801
Si 5.701 7.602 3.801
Si 0.000 3.801 9.502
Si 3.801 5.701 7.602
H 0.000 0.000 0.000
H 3.801 3.801 -3.801
H 3.801 -3.801 3.801
H 7.602 0.000 0.000
H 11.403 1.900 0.000
H 7.602 -3.801 5.701
H 5.701 7.602 -3.801
H 5.701 0.000 3.801
H 3.801 5.701 0.000
H 7.602 3.801 1.900
H -3.801 3.801 3.801
H 0.000 7.602 0.000
H 0.000 0.000 7.602
H 3.801 3.801 3.801
H 0.000 3.801 5.701
H 3.801 1.900 7.602
H 1.900 7.602 3.801
H 1.900 0.000 11.403
H 0.000 11.403 1.900
H -3.801 5.701 7.602
```


(2)
A plane-wave DFT calculation with PBE-GGA was carried out for crystalline Tb2Al5Cu4 at its relaxed geometry.

```
11
Lattice="0.000 4.722 7.470 2.742 0.000 7.470 2.742 4.722 0.000" Properties=species:S:1:pos:R:3 pbc="T T T"
Tb 2.742 4.722 2.004
Tb 2.742 4.722 12.936
Al 1.371 2.361 0.000
Al 1.371 2.361 3.735
Al 1.371 2.361 7.470
Al 2.742 4.722 7.470
Al 4.113 7.082 11.205
Cu 2.742 3.386 5.459
Cu 2.742 3.386 9.482
Cu 2.742 6.057 5.459
Cu 2.742 6.057 9.482
```

Energy of formation   -0.340 eV per atom


(3)
A plane-wave DFT calculation with PBE-GGA was carried out for crystalline Tb2ThZrN4 at its relaxed geometry.

```
8
Lattice="6.006 0.000 0.000 0.000 3.483 0.000 -1.992 0.000 5.710" Properties=species:S:1:pos:R:3 pbc="T T T"
Tb 0.000 0.000 0.000
Tb -0.996 1.741 2.855
Th 2.007 0.000 2.855
Zr 3.003 1.741 0.000
N 1.071 1.741 1.352
N 0.060 0.000 4.370
N 3.954 0.000 1.340
N 2.943 1.741 4.358
```

Uncorrected formation energy   -1.61 eV/atom


(4)
A plane-wave DFT calculation with PBE-GGA was carried out for crystalline LiCe2SmS4 at its relaxed geometry.

```
8
Lattice="6.911 0.000 0.000 0.000 3.998 0.000 -2.318 0.000 6.512" Properties=species:S:1:pos:R:3 pbc="T T T"
Li 0.000 0.000 0.000
Ce 2.297 0.000 3.256
Ce 3.456 1.999 0.000
Sm -1.159 1.999 3.256
S 1.102 1.999 1.576
S -0.074 0.000 4.914
S 4.667 0.000 1.598
S 3.491 1.999 4.935
```

Uncorrected formation energy   -1.89 eV/atom


(5)
A plane-wave DFT calculation with PBE-GGA was carried out for crystalline RbHo2AgS4 at its relaxed geometry.

```
16
Lattice="2.029 -6.861 0.000 2.029 6.861 0.000 0.000 0.000 14.214" Properties=species:S:1:pos:R:3 pbc="T T T"
Rb 2.029 5.279 10.660
Rb 2.029 -5.279 3.553
Ho 2.029 1.808 8.026
Ho 2.029 1.808 13.295
Ho 2.029 -1.808 0.919
Ho 2.029 -1.808 6.188
Ag 2.029 4.578 3.553
Ag 2.029 -4.578 10.660
S 0.000 0.000 0.000
S 0.000 0.000 7.107
S 2.029 3.290 1.402
S 2.029 3.290 5.705
S 2.029 0.845 10.660
S 2.029 -0.845 3.553
S 2.029 -3.290 8.509
S 2.029 -3.290 12.812
```

Uncorrected formation energy   -1.57 eV/atom


(6)
A plane-wave DFT calculation with PBE-GGA was carried out for crystalline ErThMgSc at its relaxed geometry.

```
4
Lattice="-1.703 1.703 10.355 1.703 -1.703 10.355 1.703 1.703 -10.355" Properties=species:S:1:pos:R:3 pbc="T T T"
Er 0.000 0.000 0.000
Th 0.000 0.000 7.827
Mg 0.000 0.000 12.724
Sc 0.000 0.000 15.885
```

Energy above the most stable polymorph in this dataset   103.9 meV/atom
Energy of formation   0.179 eV per atom


(7)
A plane-wave DFT calculation with PBE-GGA was carried out for crystalline ReTeW2I at its relaxed geometry.

```
5
Lattice="5.001 0.000 0.000 0.000 5.001 0.000 0.000 0.000 5.067" Properties=species:S:1:pos:R:3 pbc="T T T"
Re 0.000 0.000 0.000
Te 0.000 0.000 2.533
W 0.000 2.500 0.000
W 2.500 0.000 0.000
I 2.500 2.500 2.533
```

Uncorrected formation energy   1.90 eV/atom


(8)
A plane-wave DFT calculation with PBE-GGA was carried out for crystalline LiFeRu at its relaxed geometry.

```
3
Lattice="0.000 2.726 2.726 2.726 0.000 2.726 2.726 2.726 0.000" Properties=species:S:1:pos:R:3 pbc="T T T"
Li 0.000 0.000 0.000
Fe 1.363 1.363 1.363
Ru 2.726 2.726 2.726
```

Energy above the most stable polymorph in this dataset   275.2 meV/atom
Energy of formation   0.527 eV per atom


(9)
A plane-wave DFT calculation with PBE-GGA was carried out for crystalline HgB6N6 at its relaxed geometry.

```
13
Lattice="4.660 0.000 0.000 0.000 4.660 0.000 0.000 0.000 4.660" Properties=species:S:1:pos:R:3 pbc="T T T"
Hg 0.000 0.000 0.000
B 0.000 1.171 2.330
B 0.000 3.489 2.330
B 1.171 2.330 0.000
B 2.330 0.000 1.171
B 2.330 0.000 3.489
B 3.489 2.330 0.000
N 0.000 2.330 1.196
N 0.000 2.330 3.464
N 1.196 0.000 2.330
N 2.330 1.196 0.000
N 2.330 3.464 0.000
N 3.464 0.000 2.330
```

Uncorrected formation energy   -0.23 eV/atom


(10)
A plane-wave DFT calculation with PBE-GGA was carried out for crystalline Y2AsI at its relaxed geometry.

```
8
Lattice="-3.357 3.357 6.587 3.357 -3.357 6.587 3.357 3.357 -6.587" Properties=species:S:1:pos:R:3 pbc="T T T"
Y 5.035 1.380 -1.647
Y 1.380 1.678 1.647
Y -1.678 1.977 4.941
Y 1.977 1.678 8.234
As 0.000 0.000 0.000
As 0.000 3.357 3.294
I 3.357 0.000 3.294
I 0.000 0.000 6.587
```

Uncorrected formation energy   -0.70 eV/atom


Total energy, record by record: -0.1761, -0.1607, -0.3282, -0.2302, -0.1931, -0.1763, -0.2466, -0.2214, -0.2639, -0.2013 hartree per atom